(1)
The following is a PBE calculation of a relaxed LaCeZnGa crystal, from the Alexandria database.

Values from the calculation:
Space-group type: F-43m (216)
Final energy: -66.6 eV per cell
Excess energy over the best structure of this formula in the dataset: 0.02 eV per formula unit
ΔE_f: -0.3719 eV per atom

Cell and atoms, written as CIF:
```
data_LaCeZnGa
_chemical_formula_sum 'La4 Ce4 Zn4 Ga4'
_symmetry_space_group_name_H-M 'P 1'
_symmetry_Int_Tables_number 1
_symmetry_space_group_name_Hall 'P 1'
_cell_length_a 7.404
_cell_length_b 7.404
_cell_length_c 7.404
_cell_angle_alpha 90.00
_cell_angle_beta 90.00
_cell_angle_gamma 90.00
loop_
_atom_site_label
_atom_site_type_symbol
_atom_site_fract_x
_atom_site_fract_y
_atom_site_fract_z
La1 La 0.000 0.000 0.000
La2 La 0.000 0.500 0.500
La3 La 0.500 0.000 0.500
La4 La 0.500 0.500 0.000
Ce1 Ce 0.000 0.000 0.500
Ce2 Ce 0.000 0.500 0.000
Ce3 Ce 0.500 0.000 0.000
Ce4 Ce 0.500 0.500 0.500
Zn1 Zn 0.250 0.250 0.250
Zn2 Zn 0.250 0.750 0.750
Zn3 Zn 0.750 0.250 0.750
Zn4 Zn 0.750 0.750 0.250
Ga1 Ga 0.250 0.250 0.750
Ga2 Ga 0.250 0.750 0.250
Ga3 Ga 0.750 0.250 0.250
Ga4 Ga 0.750 0.750 0.750
```

---

(2)
The following is a PBE calculation of a relaxed La2CeZn2Ga2 crystal, from the Alexandria database.

Values from the calculation:
Space-group type: R-3m (166)
Final energy: -27.1 eV per cell
ΔE_f: -0.3841 eV per atom

Cell and atoms, written as CIF:
```
data_La2CeZn2Ga2
_chemical_formula_sum 'La2 Ce1 Zn2 Ga2'
_symmetry_space_group_name_H-M 'P 1'
_symmetry_Int_Tables_number 1
_symmetry_space_group_name_Hall 'P 1'
_cell_length_a 9.816
_cell_length_b 9.816
_cell_length_c 9.816
_cell_angle_alpha 26.29
_cell_angle_beta 26.29
_cell_angle_gamma 26.29
loop_
_atom_site_label
_atom_site_type_symbol
_atom_site_fract_x
_atom_site_fract_y
_atom_site_fract_z
La1 La 0.136 0.136 0.136
La2 La 0.864 0.864 0.864
Ce1 Ce 0.000 0.000 0.000
Zn1 Zn 0.400 0.400 0.400
Zn2 Zn 0.600 0.600 0.600
Ga1 Ga 0.265 0.265 0.265
Ga2 Ga 0.735 0.735 0.735
```

---

(3)
The following is a PBE calculation of a relaxed LiCe2Ga12 crystal, from the Alexandria database.

Values from the calculation:
Space-group type: P4/nbm (125)
Final energy: -110.1 eV per cell
ΔE_f: -0.3312 eV per atom

Cell and atoms, written as CIF:
```
data_LiCe2Ga12
_chemical_formula_sum 'Li2 Ce4 Ga24'
_symmetry_space_group_name_H-M 'P 1'
_symmetry_Int_Tables_number 1
_symmetry_space_group_name_Hall 'P 1'
_cell_length_a 6.160
_cell_length_b 6.160
_cell_length_c 15.255
_cell_angle_alpha 90.00
_cell_angle_beta 90.00
_cell_angle_gamma 90.00
loop_
_atom_site_label
_atom_site_type_symbol
_atom_site_fract_x
_atom_site_fract_y
_atom_site_fract_z
Li1 Li 0.250 0.750 0.000
Li2 Li 0.750 0.250 0.000
Ce1 Ce 0.250 0.750 0.245
Ce2 Ce 0.250 0.750 0.755
Ce3 Ce 0.750 0.250 0.245
Ce4 Ce 0.750 0.250 0.755
Ga1 Ga 0.000 0.000 0.086
Ga2 Ga 0.000 0.000 0.914
Ga3 Ga 0.000 0.500 0.086
Ga4 Ga 0.000 0.500 0.914
Ga5 Ga 0.078 0.578 0.428
Ga6 Ga 0.078 0.922 0.572
Ga7 Ga 0.250 0.250 0.181
Ga8 Ga 0.250 0.250 0.341
Ga9 Ga 0.250 0.250 0.659
Ga10 Ga 0.250 0.250 0.819
Ga11 Ga 0.422 0.578 0.572
Ga12 Ga 0.422 0.922 0.428
Ga13 Ga 0.500 0.000 0.086
Ga14 Ga 0.500 0.000 0.914
Ga15 Ga 0.500 0.500 0.086
Ga16 Ga 0.500 0.500 0.914
Ga17 Ga 0.578 0.078 0.572
Ga18 Ga 0.578 0.422 0.428
Ga19 Ga 0.750 0.750 0.181
Ga20 Ga 0.750 0.750 0.341
Ga21 Ga 0.750 0.750 0.659
Ga22 Ga 0.750 0.750 0.819
Ga23 Ga 0.922 0.078 0.428
Ga24 Ga 0.922 0.422 0.572
```

---

(4)
The following is a PBE calculation of a relaxed LiCe2Ga4 crystal, from the Alexandria database.

Values from the calculation:
Space-group type: Cmmm (65)
Final energy: -54.0 eV per cell
Excess energy over the best structure of this formula in the dataset: 0.69 eV per formula unit
ΔE_f: -0.1608 eV per atom

Cell and atoms, written as CIF:
```
data_LiCe2Ga4
_chemical_formula_sum 'Li2 Ce4 Ga8'
_symmetry_space_group_name_H-M 'P 1'
_symmetry_Int_Tables_number 1
_symmetry_space_group_name_Hall 'P 1'
_cell_length_a 5.941
_cell_length_b 12.861
_cell_length_c 4.394
_cell_angle_alpha 90.00
_cell_angle_beta 90.00
_cell_angle_gamma 90.00
loop_
_atom_site_label
_atom_site_type_symbol
_atom_site_fract_x
_atom_site_fract_y
_atom_site_fract_z
Li1 Li 0.000 0.000 0.000
Li2 Li 0.500 0.500 0.000
Ce1 Ce 0.000 0.361 0.500
Ce2 Ce 0.000 0.639 0.500
Ce3 Ce 0.500 0.139 0.500
Ce4 Ce 0.500 0.861 0.500
Ga1 Ga 0.000 0.100 0.500
Ga2 Ga 0.000 0.206 0.000
Ga3 Ga 0.000 0.794 0.000
Ga4 Ga 0.000 0.900 0.500
Ga5 Ga 0.500 0.294 0.000
Ga6 Ga 0.500 0.400 0.500
Ga7 Ga 0.500 0.600 0.500
Ga8 Ga 0.500 0.706 0.000
```

---

(5)
The following is a PBE calculation of a relaxed LiCeGa crystal, from the Alexandria database.

Values from the calculation:
Space-group type: P4/nmm (129)
Final energy: -22.9 eV per cell
Excess energy over the best structure of this formula in the dataset: 0.24 eV per formula unit
ΔE_f: -0.1987 eV per atom

Cell and atoms, written as CIF:
```
data_LiCeGa
_chemical_formula_sum 'Li2 Ce2 Ga2'
_symmetry_space_group_name_H-M 'P 1'
_symmetry_Int_Tables_number 1
_symmetry_space_group_name_Hall 'P 1'
_cell_length_a 3.697
_cell_length_b 3.697
_cell_length_c 9.127
_cell_angle_alpha 90.00
_cell_angle_beta 90.00
_cell_angle_gamma 90.00
loop_
_atom_site_label
_atom_site_type_symbol
_atom_site_fract_x
_atom_site_fract_y
_atom_site_fract_z
Li1 Li 0.250 0.250 0.077
Li2 Li 0.750 0.750 0.923
Ce1 Ce 0.250 0.250 0.429
Ce2 Ce 0.750 0.750 0.571
Ga1 Ga 0.250 0.250 0.769
Ga2 Ga 0.750 0.750 0.231
```

---

(6)
The following is a PBE calculation of a relaxed LiCeGa crystal, from the Alexandria database.

Values from the calculation:
Space-group type: I4/mmm (139)
Final energy: -46.2 eV per cell
Excess energy over the best structure of this formula in the dataset: 0.16 eV per formula unit
ΔE_f: -0.2263 eV per atom

Cell and atoms, written as CIF:
```
data_LiCeGa
_chemical_formula_sum 'Li4 Ce4 Ga4'
_symmetry_space_group_name_H-M 'P 1'
_symmetry_Int_Tables_number 1
_symmetry_space_group_name_Hall 'P 1'
_cell_length_a 3.163
_cell_length_b 3.163
_cell_length_c 23.667
_cell_angle_alpha 90.00
_cell_angle_beta 90.00
_cell_angle_gamma 90.00
loop_
_atom_site_label
_atom_site_type_symbol
_atom_site_fract_x
_atom_site_fract_y
_atom_site_fract_z
Li1 Li 0.000 0.000 0.215
Li2 Li 0.000 0.000 0.785
Li3 Li 0.500 0.500 0.285
Li4 Li 0.500 0.500 0.715
Ce1 Ce 0.000 0.000 0.057
Ce2 Ce 0.000 0.000 0.943
Ce3 Ce 0.500 0.500 0.443
Ce4 Ce 0.500 0.500 0.557
Ga1 Ga 0.000 0.000 0.348
Ga2 Ga 0.000 0.000 0.652
Ga3 Ga 0.500 0.500 0.152
Ga4 Ga 0.500 0.500 0.848
```

---

(7)
The following is a PBE calculation of a relaxed LiCeGa crystal, from the Alexandria database.

Values from the calculation:
Space-group type: P-6m2 (187)
Final energy: -11.7 eV per cell
Excess energy over the best structure of this formula in the dataset: 0.00 eV per formula unit
ΔE_f: -0.2795 eV per atom

Cell and atoms, written as CIF:
```
data_LiCeGa
_chemical_formula_sum 'Li1 Ce1 Ga1'
_symmetry_space_group_name_H-M 'P 1'
_symmetry_Int_Tables_number 1
_symmetry_space_group_name_Hall 'P 1'
_cell_length_a 4.834
_cell_length_b 4.834
_cell_length_c 3.137
_cell_angle_alpha 90.00
_cell_angle_beta 90.00
_cell_angle_gamma 120.00
loop_
_atom_site_label
_atom_site_type_symbol
_atom_site_fract_x
_atom_site_fract_y
_atom_site_fract_z
Li1 Li 0.000 0.000 0.000
Ce1 Ce 0.333 0.667 0.500
Ga1 Ga 0.667 0.333 0.000
```

---

(8)
The following is a PBE calculation of a relaxed Li2Ce3Ga6 crystal, from the Alexandria database.

Values from the calculation:
Space-group type: I4/mmm (139)
Final energy: -44.1 eV per cell
ΔE_f: -0.3890 eV per atom

Cell and atoms, written as CIF:
```
data_Li2Ce3Ga6
_chemical_formula_sum 'Li2 Ce3 Ga6'
_symmetry_space_group_name_H-M 'P 1'
_symmetry_Int_Tables_number 1
_symmetry_space_group_name_Hall 'P 1'
_cell_length_a 12.663
_cell_length_b 12.663
_cell_length_c 12.663
_cell_angle_alpha 160.37
_cell_angle_beta 160.37
_cell_angle_gamma 27.89
loop_
_atom_site_label
_atom_site_type_symbol
_atom_site_fract_x
_atom_site_fract_y
_atom_site_fract_z
Li1 Li 0.050 0.050 0.000
Li2 Li 0.950 0.950 0.000
Ce1 Ce 0.302 0.302 0.000
Ce2 Ce 0.500 0.500 0.000
Ce3 Ce 0.698 0.698 0.000
Ga1 Ga 0.101 0.601 0.500
Ga2 Ga 0.173 0.173 0.000
Ga3 Ga 0.399 0.899 0.500
Ga4 Ga 0.601 0.101 0.500
Ga5 Ga 0.827 0.827 0.000
Ga6 Ga 0.899 0.399 0.500
```